No. 1
# GGA-PBE CeVCo2, relaxed
data_CeVCo2
_space_group_name_H-M_alt 'P 4/m m m'
_space_group_IT_number 123
_space_group_name_Hall '-P 4 2'
_cell_length_a 2.9083
_cell_length_b 2.9083
_cell_length_c 6.9757
_cell_angle_alpha 90.00
_cell_angle_beta 90.00
_cell_angle_gamma 90.00
loop_
_atom_site_label
_atom_site_type_symbol
_atom_site_fract_x
_atom_site_fract_y
_atom_site_fract_z
_atom_site_occupancy
Ce1 Ce 0.0000 0.0000 0.0000 1
V1 V 0.0000 0.0000 0.5000 1
Co1 Co 0.5000 0.5000 0.3122 1
# - Calculated formation energy: -0.11 eV per atom
# - ΔE to the lowest computed polymorph: 0 meV per atom
# - Total magnetization: 0.00 μB per cell


No. 2
# GGA-PBE CeVCo2, relaxed
data_CeVCo2
_space_group_name_H-M_alt 'R -3 m'
_space_group_IT_number 166
_space_group_name_Hall '-R 3 2"'
_cell_length_a 2.8096
_cell_length_b 2.8096
_cell_length_c 25.9241
_cell_angle_alpha 90.00
_cell_angle_beta 90.00
_cell_angle_gamma 120.00
loop_
_atom_site_label
_atom_site_type_symbol
_atom_site_fract_x
_atom_site_fract_y
_atom_site_fract_z
_atom_site_occupancy
Ce1 Ce 0.0000 0.0000 0.0000 1
V1 V 0.0000 0.0000 0.5000 1
Co1 Co 0.0000 0.0000 0.2350 1
# - Calculated formation energy: 0.23 eV per atom
# - ΔE to the lowest computed polymorph: 346 meV per atom
# - Total magnetization: 2.19 μB per cell


No. 3
# GGA-PBE CeV2Co, relaxed
data_CeV2Co
_space_group_name_H-M_alt 'F m -3 m'
_space_group_IT_number 225
_space_group_name_Hall '-F 4 2 3'
_cell_length_a 6.1455
_cell_length_b 6.1455
_cell_length_c 6.1455
_cell_angle_alpha 90.00
_cell_angle_beta 90.00
_cell_angle_gamma 90.00
loop_
_atom_site_label
_atom_site_type_symbol
_atom_site_fract_x
_atom_site_fract_y
_atom_site_fract_z
_atom_site_occupancy
Ce1 Ce 0.0000 0.0000 0.0000 1
V1 V 0.2500 0.2500 0.2500 1
Co1 Co 0.0000 0.0000 0.5000 1
# - Calculated formation energy: 0.23 eV per atom
# - Total magnetization: 0.03 μB per cell